Record 1
CaSiMoRu2, optimized geometry, DFT PBE; formation energy (no corrections) = 2.48 eV per atom; symmetry = No. 123; crystal system = tetragonal
1.0
4.608 0.000 0.000
0.000 4.785 0.000
0.000 0.000 4.608
Ru Mo Si Ca
2 1 1 1
direct
0.000 0.000 0.500 Ru
0.500 0.000 0.000 Ru
0.000 0.500 0.000 Mo
0.500 0.500 0.500 Si
0.000 0.000 0.000 Ca

---

Record 2
AlIn2Ag, optimized geometry, DFT PBE; energy of formation = 0.145 eV/atom; symmetry = No. 160; crystal system = trigonal
1.0
4.618 0.000 0.000
2.309 3.999 0.000
2.309 1.333 5.172
Al In Ag
1 2 1
direct
0.491 0.491 0.528 Al
0.074 0.074 0.779 In
0.268 0.268 0.196 In
0.668 0.668 0.996 Ag

---

Record 3
Rb3Pm3ScO8, optimized geometry, DFT PBE; formation energy (no corrections) = -2.60 eV per atom; symmetry = No. 166; crystal system = trigonal
1.0
-3.108 2.376 5.907
-2.517 -5.771 -3.252
6.730 -0.747 3.841
Rb Pm Sc O
3 3 1 8
direct
0.000 0.000 0.000 Rb
0.000 0.500 0.000 Rb
0.500 0.500 0.000 Rb
0.500 0.000 0.500 Pm
0.500 0.500 0.500 Pm
0.000 0.500 0.500 Pm
0.000 0.000 0.500 Sc
0.274 0.548 0.322 O
0.726 0.452 0.678 O
0.791 0.581 0.334 O
0.209 0.419 0.666 O
0.791 0.043 0.334 O
0.209 0.957 0.666 O
0.253 0.043 0.334 O
0.747 0.957 0.666 O

---

Record 4
Er2Sc6Pb, optimized geometry, DFT PBE; energy of formation = 0.143 eV/atom; symmetry = No. 225; crystal system = cubic
1.0
-1.505 -6.789 1.590
-1.987 -1.140 -6.755
6.472 2.643 1.416
Er Sc Pb
2 6 1
direct
0.750 0.250 0.500 Er
0.250 0.750 0.500 Er
0.282 0.282 0.000 Sc
0.718 0.718 0.000 Sc
0.718 0.282 0.000 Sc
0.282 0.282 0.564 Sc
0.282 0.718 0.000 Sc
0.718 0.718 0.436 Sc
0.000 0.000 0.000 Pb

---

Record 5
LiCoPb2, optimized geometry, DFT PBE; energy of formation = 0.363 eV/atom; symmetry = No. 160; crystal system = trigonal
1.0
9.535 0.102 0.060
8.915 3.385 0.060
8.915 1.685 2.936
Co Li Pb
1 1 2
direct
0.495 0.495 0.495 Co
0.765 0.765 0.765 Li
0.010 0.010 0.010 Pb
0.230 0.230 0.230 Pb

---

Record 6
TbThTcGe, optimized geometry, DFT PBE; energy of formation = -0.545 eV/atom; symmetry = No. 38; crystal system = orthorhombic
1.0
4.171 0.000 0.000
0.000 3.910 0.000
-2.085 0.000 5.737
Tb Th Tc Ge
1 1 1 1
direct
0.858 0.500 0.716 Tb
0.131 0.000 0.263 Th
0.583 0.500 0.167 Tc
0.427 0.000 0.854 Ge

---

Record 7
PrSm5Cu4, optimized geometry, DFT PBE; energy of formation = -0.142 eV/atom; symmetry = No. 123; crystal system = tetragonal
1.0
3.557 0.000 0.000
0.000 3.557 0.000
0.000 0.000 19.600
Pr Sm Cu
1 5 4
direct
0.000 0.000 0.000 Pr
0.500 0.500 0.140 Sm
0.500 0.500 0.318 Sm
0.500 0.500 0.500 Sm
0.500 0.500 0.682 Sm
0.500 0.500 0.860 Sm
0.000 0.000 0.229 Cu
0.000 0.000 0.409 Cu
0.000 0.000 0.591 Cu
0.000 0.000 0.771 Cu

---

Record 8
PrSm3Sc3, optimized geometry, DFT PBE; energy of formation = 0.181 eV/atom; symmetry = No. 148; ΔE to the lowest computed polymorph = 0.000 eV per atom; crystal system = trigonal
1.0
7.634 0.430 3.983
2.601 7.191 3.983
0.578 0.430 8.591
Pr Sm Sc
2 6 6
direct
0.347 0.347 0.347 Pr
0.653 0.653 0.653 Pr
0.719 0.568 0.070 Sm
0.070 0.719 0.568 Sm
0.568 0.070 0.719 Sm
0.432 0.930 0.281 Sm
0.930 0.281 0.432 Sm
0.281 0.432 0.930 Sm
0.725 0.166 0.939 Sc
0.166 0.939 0.725 Sc
0.939 0.725 0.166 Sc
0.061 0.275 0.834 Sc
0.834 0.061 0.275 Sc
0.275 0.834 0.061 Sc

---

Record 9
SrP3Pt, optimized geometry, DFT PBE; energy of formation = 0.032 eV/atom; symmetry = No. 221; ΔE to the lowest computed polymorph = 0.679 eV per atom; crystal system = cubic
1.0
-2.886 -3.100 -2.328
-2.088 -1.202 4.190
-3.266 3.508 -0.621
Sr Pt P
1 1 3
direct
0.500 0.500 0.500 Sr
0.000 0.000 0.000 Pt
0.000 0.500 0.000 P
0.000 0.000 0.500 P
0.500 0.000 0.000 P

---

Record 10
LaDyNiRh, optimized geometry, DFT PBE; energy of formation = -0.518 eV/atom; symmetry = No. 216; ΔE to the lowest computed polymorph = 0.074 eV per atom; crystal system = cubic
1.0
4.943 0.000 0.000
2.472 4.281 0.000
2.472 1.427 4.036
Ni La Rh Dy
1 1 1 1
direct
0.250 0.250 0.250 Ni
0.500 0.500 0.500 La
0.750 0.750 0.750 Rh
0.000 0.000 0.000 Dy

---

Record 11
CaHS2, optimized geometry, DFT PBE; symmetry = No. 166; ΔE to the lowest computed polymorph = 1.449 eV per atom; crystal system = trigonal
1.0
2.328 0.741 7.058
4.068 3.372 5.279
0.646 3.870 6.356
H Ca S
1 1 2
direct
0.500 0.500 0.500 H
0.000 0.000 0.000 Ca
0.880 0.880 0.880 S
0.120 0.120 0.120 S

---

Record 12
Ca2PmMg5, optimized geometry, DFT PBE; energy of formation = -0.079 eV/atom; symmetry = No. 139; crystal system = tetragonal
1.0
-2.518 2.350 -4.195
-4.420 -2.995 0.976
0.797 5.786 6.274
Ca Pm Mg
2 1 5
direct
0.745 0.745 0.491 Ca
0.255 0.255 0.509 Ca
0.000 0.000 0.000 Pm
0.500 0.500 0.000 Mg
0.884 0.384 0.767 Mg
0.384 0.884 0.767 Mg
0.116 0.616 0.233 Mg
0.616 0.116 0.233 Mg

---

Computed density of states at the Fermi level, in the same sequence as the records: 7.20 1.24 12.96 13.92 3.12 1.98 7.10 24.23 6.86 3.07 5.72 5.04 states/eV/cell.